Computed, not measured: Nd3GePt4 after structural relaxation at the GGA-PBE level of DFT.

electronic total energy = -50.485 eV for the cell shown

Cell: 5.769 4.293 7.245 Å, 90.00 90.70 90.00°
Sites, in units of the cell vectors:
Nd (0.000, 0.000, 0.000)
Nd (0.240, 0.000, 0.505)
Nd (0.513, 0.500, 0.138)
Ge (0.751, 0.500, 0.661)
Pt (0.024, 0.500, 0.284)
Pt (0.196, 0.500, 0.775)
Pt (0.538, 0.000, 0.838)
Pt (0.729, 0.000, 0.420)


Computed, not measured: GeOsNO after structural relaxation at the GGA-PBE level of DFT.

electronic total energy = -56.749 eV for the cell shown

Cell: 2.993 5.911 5.475 Å, 90.00 90.00 90.00°
Sites, in units of the cell vectors:
Ge (0.000, 0.179, 0.000)
Ge (0.000, 0.821, 0.500)
Os (0.500, 0.417, 0.471)
Os (0.500, 0.583, 0.971)
N (0.500, 0.269, 0.803)
N (0.500, 0.731, 0.303)
O (0.000, 0.182, 0.389)
O (0.000, 0.818, 0.889)


Computed, not measured: TbNdW after structural relaxation at the GGA-PBE level of DFT.

electronic total energy = -19.816 eV for the cell shown

Cell: 4.924 4.924 4.924 Å, 60.00 60.00 60.00°
Sites, in units of the cell vectors:
Tb (0.000, 0.000, 0.000)
Nd (0.500, 0.500, 0.500)
W (0.750, 0.750, 0.750)


Computed, not measured: PuHfCo after structural relaxation at the GGA-PBE level of DFT.

electronic total energy = -29.106 eV for the cell shown

Cell: 4.318 4.318 4.318 Å, 60.00 60.00 60.00°
Sites, in units of the cell vectors:
Pu (0.000, 0.000, 0.000)
Hf (0.750, 0.750, 0.750)
Co (0.500, 0.500, 0.500)


Computed, not measured: NaDyGeSe3 after structural relaxation at the GGA-PBE level of DFT.

electronic total energy = -53.864 eV for the cell shown

Cell: 7.203 7.203 11.154 Å, 90.00 90.00 144.67°
Sites, in units of the cell vectors:
Na (0.246, 0.754, 0.750)
Na (0.754, 0.246, 0.250)
Dy (0.500, 0.500, 0.000)
Dy (0.500, 0.500, 0.500)
Ge (0.029, 0.971, 0.250)
Ge (0.971, 0.029, 0.750)
Se (0.136, 0.864, 0.053)
Se (0.136, 0.864, 0.447)
Se (0.417, 0.583, 0.250)
Se (0.583, 0.417, 0.750)
Se (0.864, 0.136, 0.553)
Se (0.864, 0.136, 0.947)


Computed, not measured: Lu2Cd after structural relaxation at the GGA-PBE level of DFT.

electronic total energy = -18.256 eV for the cell shown

Cell: 6.173 6.173 6.173 Å, 60.00 60.00 60.00°
Sites, in units of the cell vectors:
Lu (0.000, 0.000, 0.000)
Lu (0.000, 0.000, 0.500)
Lu (0.000, 0.500, 0.000)
Lu (0.500, 0.000, 0.000)
Cd (0.375, 0.375, 0.375)
Cd (0.625, 0.625, 0.625)


| no. | magnetic moment (μB per formula unit) |
| --- | --- |
| 1 | 0.0 |
| 2 | 0.0 |
| 3 | 0.0 |
| 4 | 4.9 |
| 5 | 0.0 |
| 6 | 0.0 |